{
  "formula": "Np2CoAg3S6",
  "functional": "PBE-GGA",
  "state": "relaxed",
  "dft_energy_ev_per_atom": -6.13,
  "dos_at_fermi_per_ev_cell": 13.5,
  "magmom_total_mub_per_atom": 0.66,
  "sg": "C2/m",
  "rho_g_cm3": 7.3,
  "lattice": [[-5.9809, 2.1451, -1.7883], [2.8124, -5.1121, -3.0866], [-2.0320, -3.3876, 5.1729]],
  "species": ["S", "S", "S", "S", "S", "S", "Ag", "Ag", "Ag", "Np", "Np", "Co"],
  "fractional_positions": [[0.9557, 0.6540, 0.7768], [0.3460, 0.0443, 0.2232], [0.7375, 0.7375, 0.2210], [0.0443, 0.3460, 0.2232], [0.6540, 0.9557, 0.7768], [0.2625, 0.2625, 0.7790], [0.2255, 0.7745, 0.5000], [0.5000, 0.5000, 0.5000], [0.7745, 0.2255, 0.5000], [0.3355, 0.6645, 0.0000], [0.6645, 0.3355, 0.0000], [0.0000, 0.0000, 0.0000]]
}